Gd3Ni8Sn4: optimized geometry, GGA-PBE.

Calculated values
crystal system = hexagonal
magnetic moment = 0.591 μB per cell

Lattice parameters (Å, degrees): 8.901 8.901 7.506 90.00 90.00 120.00
Atoms (fractional coordinates):
Gd: 0.055 0.528 0.000
Gd: 0.472 0.528 0.000
Gd: 0.472 0.945 0.000
Gd: 0.528 0.055 0.500
Gd: 0.528 0.472 0.500
Gd: 0.945 0.472 0.500
Ni: 0.000 0.000 0.282
Ni: 0.000 0.000 0.782
Ni: 0.105 0.210 0.024
Ni: 0.105 0.895 0.024
Ni: 0.165 0.329 0.339
Ni: 0.165 0.835 0.339
Ni: 0.210 0.105 0.524
Ni: 0.329 0.165 0.839
Ni: 0.333 0.667 0.690
Ni: 0.667 0.333 0.190
Ni: 0.671 0.835 0.339
Ni: 0.790 0.895 0.024
Ni: 0.835 0.165 0.839
Ni: 0.835 0.671 0.839
Ni: 0.895 0.105 0.524
Ni: 0.895 0.790 0.524
Sn: 0.167 0.334 0.704
Sn: 0.167 0.833 0.704
Sn: 0.333 0.667 0.318
Sn: 0.334 0.167 0.204
Sn: 0.666 0.833 0.704
Sn: 0.667 0.333 0.818
Sn: 0.833 0.167 0.204
Sn: 0.833 0.666 0.204

***

AgP5: optimized geometry, GGA-PBE.

Calculated values
crystal system = orthorhombic

Lattice parameters (Å, degrees): 6.517 6.280 11.850 90.00 90.00 90.00
Atoms (fractional coordinates):
Ag: 0.000 0.039 0.000
Ag: 0.000 0.961 0.500
Ag: 0.500 0.242 0.604
Ag: 0.500 0.758 0.104
P: 0.000 0.266 0.819
P: 0.000 0.277 0.635
P: 0.000 0.375 0.128
P: 0.000 0.625 0.628
P: 0.000 0.723 0.135
P: 0.000 0.734 0.319
P: 0.243 0.491 0.878
P: 0.243 0.509 0.378
P: 0.248 0.261 0.242
P: 0.248 0.739 0.742
P: 0.500 0.106 0.005
P: 0.500 0.267 0.840
P: 0.500 0.368 0.127
P: 0.500 0.632 0.627
P: 0.500 0.733 0.340
P: 0.500 0.894 0.505
P: 0.752 0.261 0.242
P: 0.752 0.739 0.742
P: 0.757 0.491 0.878
P: 0.757 0.509 0.378

***

YHfBe: optimized geometry, GGA-PBE.

Calculated values
crystal system = cubic
magnetic moment = 0.337 μB per cell

Lattice parameters (Å, degrees): 4.544 4.544 4.544 60.00 60.00 60.00
Atoms (fractional coordinates):
Y: 0.000 0.000 0.000
Hf: 0.500 0.500 0.500
Be: 0.750 0.750 0.750

***

TbSi2Pt: optimized geometry, GGA-PBE.

Calculated values
crystal system = orthorhombic
magnetic moment = 0.002 μB per cell

Lattice parameters (Å, degrees): 4.129 6.028 5.746 90.00 90.00 90.00
Atoms (fractional coordinates):
Tb: 0.000 0.100 0.000
Tb: 0.500 0.900 0.500
Si: 0.000 0.258 0.498
Si: 0.000 0.640 0.257
Si: 0.500 0.360 0.757
Si: 0.500 0.742 0.998
Pt: 0.000 0.599 0.798
Pt: 0.500 0.401 0.298

***

Pr2SmGe4Au4: optimized geometry, GGA-PBE.

Calculated values
crystal system = orthorhombic
magnetic moment = 0.003 μB per cell

Lattice parameters (Å, degrees): 13.325 13.325 13.325 161.54 160.93 26.66
Atoms (fractional coordinates):
Pr: 0.149 0.149 0.000
Pr: 0.851 0.851 0.000
Sm: 0.500 0.000 0.500
Ge: 0.048 0.548 0.500
Ge: 0.309 0.309 0.000
Ge: 0.691 0.691 0.000
Ge: 0.952 0.452 0.500
Au: 0.249 0.749 0.500
Au: 0.407 0.407 0.000
Au: 0.593 0.593 0.000
Au: 0.751 0.251 0.500

***

Ho2AlCoIr: optimized geometry, GGA-PBE.

Calculated values
crystal system = orthorhombic
magnetic moment = 0.007 μB per cell

Lattice parameters (Å, degrees): 5.444 5.444 5.444 136.23 79.04 117.91
Atoms (fractional coordinates):
Ho: 0.202 0.000 0.202
Ho: 0.798 0.000 0.798
Al: 0.490 0.490 0.000
Co: 0.240 0.740 0.500
Ir: 0.776 0.276 0.500

***

Calculated total energy for the records above, in order: -5.449, -4.889, -6.299, -6.166, -4.870, -6.460 eV per atom